{
  "formula": "KLiHg2Bi",
  "functional": "GGA-PBE",
  "state": "optimized geometry",
  "dos_at_fermi_per_ev_cell": 4.41,
  "crystal_system": "tetragonal",
  "formation_enthalpy_0k_mev_per_atom": -172,
  "polymorph_energy_kcal_per_mol_atoms": 1.79,
  "volume_a3_per_cell": 153.80,
  "final_energy_ev_per_atom": -1.6710,
  "lattice_angstrom": [[5.3674, 0.0000, 0.0000], [0.0000, 5.3674, 0.0000], [0.0000, 0.0000, 5.3387]],
  "species": ["K", "Li", "Hg", "Hg", "Bi"],
  "frac_coords": [[0.0000, 0.0000, 0.0000], [0.5000, 0.5000, 0.5000], [0.0000, 0.5000, 0.5000], [0.5000, 0.0000, 0.5000], [0.5000, 0.5000, 0.0000]]
}


{
  "formula": "KLiHg2Bi",
  "functional": "GGA-PBE",
  "state": "optimized geometry",
  "dos_at_fermi_per_ev_cell": 2.23,
  "crystal_system": "orthorhombic",
  "formation_enthalpy_0k_mev_per_atom": -249,
  "polymorph_energy_kcal_per_mol_atoms": 0.00,
  "volume_a3_per_cell": 296.78,
  "final_energy_ev_per_atom": -1.7484,
  "lattice_angstrom": [[6.2384, 0.0000, 0.0000], [0.0000, 7.3490, 0.0000], [0.0000, 0.0000, 6.4734]],
  "species": ["K", "K", "Li", "Li", "Hg", "Hg", "Hg", "Hg", "Bi", "Bi"],
  "frac_coords": [[0.2500, 0.0000, 0.2279], [0.7500, 0.0000, 0.7721], [0.0000, 0.5000, 0.5000], [0.5000, 0.5000, 0.5000], [0.2500, 0.2214, 0.7061], [0.2500, 0.7786, 0.7061], [0.7500, 0.2214, 0.2939], [0.7500, 0.7786, 0.2939], [0.2500, 0.5000, 0.0893], [0.7500, 0.5000, 0.9107]]
}